A geometry-optimized HgTeP2Cl structure, computed with GGA-PBE.

The structure belongs to space group P4/mmm (No. 123); the cell edges are 5.162, 5.162 and 5.423 Å and the angles 90.00°, 90.00° and 90.00°. The inequivalent atoms are Hg at (0.000, 0.000, 0.000), Te at (0.500, 0.500, 0.500), P at (0.000, 0.500, 0.500) and Cl at (0.500, 0.500, 0.000).

The volume comes out at 28.90 Å³/atom. As for the energy relative to the elements, uncorrected: 792 meV/atom. The value obtained for the polymorph energy (0 for the lowest one) is 0 meV/atom. As for the density of states at the Fermi level: 0.9695 states/eV/atom. The size of the total moment comes out at 0.22 μB/atom.


A geometry-optimized Ca3Ag3Hg2 structure, computed with GGA-PBE.

The structure belongs to space group P-62m (No. 189); the cell edges are 7.4201, 7.4201 and 4.3222 Å and the angles 90.00°, 90.00° and 120.00°. The inequivalent atoms are Ca at (0.0000, 0.6309, 0.0000), Ag at (0.0000, 0.2272, 0.5000) and Hg at (0.3333, 0.6667, 0.5000).

The volume comes out at 25.76 Å³/atom. As for the density of states at the Fermi level: 0.4887 states/eV/atom. The size of the total moment comes out at 0.00 μB/atom. The calculation puts the energy relative to the elements at -34 kJ per mole of atoms.


A geometry-optimized LaGdMgBi structure, computed with GGA-PBE.

The structure belongs to space group F-43m (No. 216); the cell edges are 7.858, 7.858 and 7.858 Å and the angles 90.00°, 90.00° and 90.00°. The inequivalent atoms are La at (0.000, 0.000, 0.000), Gd at (0.000, 0.000, 0.500), Mg at (0.250, 0.250, 0.250) and Bi at (0.250, 0.250, 0.750).

The volume comes out at 30.32 Å³/atom. As for the density of states at the Fermi level: 1.2535 states/eV/atom. The size of the total moment comes out at 1.89 μB/atom. The calculation puts the energy relative to the elements at -38 kJ per mole of atoms.


A geometry-optimized Cs2ScB2S6 structure, computed with GGA-PBE.

The structure belongs to space group C2/m (No. 12); the cell edges are 11.508, 6.640 and 8.722 Å and the angles 90.00°, 115.95° and 90.00°. The inequivalent atoms are Cs at (0.209, 0.000, 0.129), Sc at (0.000, 0.000, 0.500), B at (0.103, 0.500, 0.310), S at (0.018, 0.264, 0.291) and S at (0.245, 0.000, 0.707).

The volume comes out at 27.24 Å³/atom. As for the energy relative to the elements, uncorrected: -920 meV/atom. As for the density of states at the Fermi level: 0.5011 states/eV/atom. The size of the total moment comes out at 0.00 μB/atom.


A geometry-optimized Mg5Cd2Pt2Rh structure, computed with GGA-PBE.

The structure belongs to space group P4/mbm (No. 127); the cell edges are 11.340, 11.340 and 3.006 Å and the angles 90.00°, 90.00° and 90.00°. The inequivalent atoms are Mg at (0.000, 0.500, 0.000), Mg at (0.050, 0.188, 0.000), Cd at (0.181, 0.681, 0.500), Pt at (0.137, 0.363, 0.500) and Rh at (0.000, 0.000, 0.500).

The volume comes out at 19.33 Å³/atom. As for the density of states at the Fermi level: 0.1856 states/eV/atom. The size of the total moment comes out at 0.00 μB/atom. The calculation puts the energy relative to the elements at -46 kJ per mole of atoms.


A geometry-optimized Hf2MnOsN structure, computed with GGA-PBE.

The structure belongs to space group P4/mmm (No. 123); the cell edges are 4.507, 4.507 and 3.569 Å and the angles 90.00°, 90.00° and 90.00°. The inequivalent atoms are Hf at (0.000, 0.500, 0.000), Mn at (0.000, 0.000, 0.500), Os at (0.500, 0.500, 0.500) and N at (0.000, 0.000, 0.000).

The volume comes out at 14.50 Å³/atom. As for the energy relative to the elements, uncorrected: -752 meV/atom. As for the density of states at the Fermi level: 0.6218 states/eV/atom. The size of the total moment comes out at 0.08 μB/atom.


A geometry-optimized Tb2Zn2Ga structure, computed with GGA-PBE.

The structure belongs to space group C2/m (No. 12); the cell edges are 10.535, 4.407 and 10.583 Å and the angles 90.00°, 117.41° and 90.00°. The inequivalent atoms are Tb at (0.021, 0.000, 0.337), Tb at (0.192, 0.000, 0.103), Zn at (0.017, 0.500, 0.885), Zn at (0.140, 0.500, 0.559) and Ga at (0.227, 0.500, 0.339).

The volume comes out at 21.81 Å³/atom. As for the density of states at the Fermi level: 0.7646 states/eV/atom. The size of the total moment comes out at 0.00 μB/atom. The calculation puts the energy relative to the elements at -43 kJ per mole of atoms.


A geometry-optimized La2CoN structure, computed with GGA-PBE.

The structure belongs to space group P1 (No. 1); the cell edges are 3.734, 3.772 and 7.036 Å and the angles 92.24°, 104.44° and 117.44°. The inequivalent atoms are La at (0.000, 0.000, 0.000), La at (0.054, 0.474, 0.551), Co at (0.505, 0.790, 0.303) and N at (0.541, 0.267, 0.805).

The volume comes out at 20.95 Å³/atom. As for the energy relative to the elements, uncorrected: -477 meV/atom. As for the density of states at the Fermi level: 0.3268 states/eV/atom. The size of the total moment comes out at 0.00 μB/atom.


A geometry-optimized CaAlPb2 structure, computed with GGA-PBE.

The structure belongs to space group P4mm (No. 99); the cell edges are 3.560, 3.560 and 8.956 Å and the angles 90.00°, 90.00° and 90.00°. The inequivalent atoms are Ca at (0.000, 0.000, 0.000), Al at (0.500, 0.500, 0.775), Pb at (0.000, 0.000, 0.557) and Pb at (0.500, 0.500, 0.270).

The volume comes out at 28.38 Å³/atom. As for the density of states at the Fermi level: 0.6413 states/eV/atom. The size of the total moment comes out at 0.00 μB/atom. The calculation puts the energy relative to the elements at -5 kJ per mole of atoms.


A geometry-optimized La4Pd2Ru structure, computed with GGA-PBE.

The structure belongs to space group C2/m (No. 12); the cell edges are 13.541, 4.109 and 8.788 Å and the angles 90.00°, 125.80° and 90.00°. The inequivalent atoms are La at (0.071, 0.000, 0.369), La at (0.172, 0.500, 0.085), Pd at (0.118, 0.500, 0.683) and Ru at (0.000, 0.000, 0.000).

The volume comes out at 28.32 Å³/atom. As for the density of states at the Fermi level: 0.6816 states/eV/atom. The size of the total moment comes out at 0.00 μB/atom. The calculation puts the energy relative to the elements at -56 kJ per mole of atoms.


A geometry-optimized Ho6SnSe2S3 structure, computed with GGA-PBE.

The structure belongs to space group C2/m (No. 12); the cell edges are 17.653, 3.974 and 8.165 Å and the angles 90.00°, 104.00° and 90.00°. The inequivalent atoms are Ho at (0.004, 0.000, 0.232), Ho at (0.161, 0.500, 0.094), Ho at (0.173, 0.500, 0.568), Sn at (0.000, 0.500, 0.500), Se at (0.170, 0.000, 0.836), S at (0.000, 0.500, 0.000) and S at (0.167, 0.000, 0.328).

The volume comes out at 23.16 Å³/atom. As for the energy relative to the elements, uncorrected: -1667 meV/atom. As for the density of states at the Fermi level: 0.4060 states/eV/atom. The size of the total moment comes out at 0.00 μB/atom.


A geometry-optimized RbHfSc structure, computed with GGA-PBE.

The structure belongs to space group Pm (No. 6); the cell edges are 4.295, 4.387 and 13.480 Å and the angles 90.00°, 98.83° and 90.00°. The inequivalent atoms are Rb at (0.000, 0.000, 0.000), Rb at (0.349, 0.500, 0.690), Hf at (0.125, 0.000, 0.277), Hf at (0.190, 0.500, 0.413), Sc at (0.612, 0.500, 0.251) and Sc at (0.703, 0.000, 0.439).

The volume comes out at 41.83 Å³/atom. The value obtained for the polymorph energy (0 for the lowest one) is 4 meV/atom. As for the density of states at the Fermi level: 1.1528 states/eV/atom. The size of the total moment comes out at 0.00 μB/atom. The calculation puts the energy relative to the elements at 36 kJ per mole of atoms.